Record 1
A plane-wave DFT calculation with PBE-GGA was carried out for a relaxed ErTl4I7 crystal.

It has space group C2/m (No. 12), with a = 23.060 Å, b = 5.864 Å, c = 8.447 Å, α = 90.00°, β = 107.11° and γ = 90.00°. The inequivalent atoms are Er at (0.000, 0.000, 0.000), Tl at (0.082, 0.500, 0.644), Tl at (0.188, 0.500, 0.264), I at (0.000, 0.500, 0.000), I at (0.077, 0.000, 0.356), I at (0.114, 0.000, 0.895) and I at (0.225, 0.500, 0.678).


Record 2
A plane-wave DFT calculation with PBE-GGA was carried out for a relaxed Er2TlI crystal.

For the energy above the most stable polymorph in this dataset, the calculation gives 0.0 meV per atom.

It has space group R-3m (No. 166, hexagonal axes), with a = 4.4774 Å, b = 4.4774 Å, c = 21.7637 Å, α = 90.00°, β = 90.00° and γ = 120.00°. The inequivalent atoms are Er at (0.0000, 0.0000, 0.2352), Tl at (0.0000, 0.0000, 0.5000) and I at (0.0000, 0.0000, 0.0000).


Record 3
A plane-wave DFT calculation with PBE-GGA was carried out for a relaxed ErTlI crystal.

For the energy above the most stable polymorph in this dataset, the calculation gives 0.0 meV per atom.

It has space group P-1 (No. 2), with a = 3.873 Å, b = 4.719 Å, c = 12.476 Å, α = 90.23°, β = 90.28° and γ = 90.00°. The inequivalent atoms are Er at (0.003, 0.252, 0.160), Tl at (0.498, 0.249, 0.920) and I at (0.495, 0.748, 0.656).


Record 4
A plane-wave DFT calculation with PBE-GGA was carried out for a relaxed ErTlI crystal.

For the energy above the most stable polymorph in this dataset, the calculation gives 161.0 meV per atom.

It has space group P2_1/m (No. 11), with a = 7.017 Å, b = 3.886 Å, c = 7.521 Å, α = 90.00°, β = 95.39° and γ = 90.00°. The inequivalent atoms are Er at (0.014, 0.250, 0.287), Tl at (0.344, 0.750, 0.434) and I at (0.245, 0.250, 0.949).


Record 5
A plane-wave DFT calculation with PBE-GGA was carried out for a relaxed Er2TlI2 crystal.

It has space group R-3m (No. 166, hexagonal axes), with a = 4.1479 Å, b = 4.1479 Å, c = 35.8800 Å, α = 90.00°, β = 90.00° and γ = 120.00°. The inequivalent atoms are Er at (0.0000, 0.0000, 0.1130), Tl at (0.0000, 0.0000, 0.5000) and I at (0.0000, 0.0000, 0.2754).


Record 6
A plane-wave DFT calculation with PBE-GGA was carried out for a relaxed ErTlI4 crystal.

It has space group C2/m (No. 12), with a = 15.062 Å, b = 4.483 Å, c = 8.735 Å, α = 90.00°, β = 102.26° and γ = 90.00°. The inequivalent atoms are Er at (0.000, 0.000, 0.000), Tl at (0.000, 0.500, 0.500), I at (0.116, 0.500, 0.902) and I at (0.121, 0.000, 0.316).


no.,formation energy (no corrections) (eV per atom)
1,-0.8561
2,-0.4349
3,-0.6530
4,-0.4920
5,-0.8563
6,-1.1305